Here is crystalline Ac3HoRh8 at its relaxed geometry from Alexandria. Energies are from PBE.

Cell lengths 5.4919, 5.4919, 9.5471 Å; angles 73.28, 73.28, 60.00 degrees
Last column: nearest neighbours and their distance in Å.
Sites, in units of the cell vectors:
1 Ho 0.8737 0.8737 0.3789  12 Rh 3.15-3.21, 4 Ac 3.34-3.36
2 Ac 0.9979 0.9979 0.0062  12 Rh 3.22-3.33, 1 Ho 3.36, 3 Ac 3.39
3 Ac 0.3758 0.3758 0.8725  12 Rh 3.22-3.30, 4 Ac 3.39-3.40
4 Ac 0.5016 0.5016 0.4952  12 Rh 3.15-3.22, 3 Ho 3.34, 1 Ac 3.40
5 Rh 0.9388 0.9388 0.6811  6 Rh 2.72-2.79
6 Rh 0.4355 0.4355 0.1935  6 Rh 2.70-2.80
7 Rh 0.6876 0.6876 0.9372  6 Rh 2.79-2.80
8 Rh 0.9388 0.4414 0.6811  6 Rh 2.72-2.79
9 Rh 0.9354 0.4355 0.1935  6 Rh 2.70-2.80
10 Rh 0.1880 0.1880 0.4361  6 Rh 2.70-2.72
11 Rh 0.4414 0.9388 0.6811  6 Rh 2.72-2.79
12 Rh 0.4355 0.9354 0.1935  6 Rh 2.70-2.80

Properties
Energy relative to the elements   -691 kJ/mol of formula units
Total DFT energy (no corrections)   -6.906 eV/atom
Space-group type   R3m (160)